{
  "formula": "Li2UPO6",
  "functional": "PBE-GGA",
  "state": "relaxed",
  "lattice_angstrom": [[5.3153, 0.0000, 0.0000], [0.0000, 5.3153, 0.0000], [0.0000, 0.0000, 4.3499]],
  "species": ["Li", "Li", "U", "P", "O", "O", "O", "O", "O", "O"],
  "frac_coords": [[0.0000, 0.5000, 0.0000], [0.5000, 0.0000, 0.0000], [0.0000, 0.0000, 0.6749], [0.5000, 0.5000, 0.6356], [0.0000, 0.0000, 0.1917], [0.2815, 0.2815, 0.7446], [0.2815, 0.7185, 0.7446], [0.5000, 0.5000, 0.2879], [0.7185, 0.2815, 0.7446], [0.7185, 0.7185, 0.7446]],
  "sg": "No. 99",
  "e_form_raw_ev_per_atom": -2.33
}

***

{
  "formula": "CeNd2US8",
  "functional": "PBE-GGA",
  "state": "relaxed",
  "lattice_angstrom": [[5.7778, 0.0000, 0.0000], [-0.5601, 6.4472, 0.0000], [-0.0609, -0.0838, 8.5137]],
  "species": ["Ce", "Nd", "Nd", "U", "S", "S", "S", "S", "S", "S", "S", "S"],
  "frac_coords": [[0.0000, 0.0000, 0.0000], [0.4105, 0.4529, 0.7503], [0.5895, 0.5471, 0.2497], [0.0000, 0.0000, 0.5000], [0.0864, 0.7493, 0.2654], [0.1398, 0.7975, 0.7334], [0.3681, 0.2354, 0.4670], [0.3822, 0.2500, 0.0301], [0.6178, 0.7500, 0.9699], [0.6319, 0.7646, 0.5330], [0.8602, 0.2025, 0.2666], [0.9136, 0.2507, 0.7346]],
  "sg": "No. 2",
  "e_form_raw_ev_per_atom": -1.56
}

***

{
  "formula": "AcInPd",
  "functional": "PBE-GGA",
  "state": "relaxed",
  "lattice_angstrom": [[14.0265, 0.0000, 0.0000], [0.0000, 4.2970, 0.0000], [0.0000, 0.0000, 7.9539]],
  "species": ["Ac", "Ac", "Ac", "Ac", "Ac", "Ac", "In", "In", "In", "In", "In", "In", "Pd", "Pd", "Pd", "Pd", "Pd", "Pd"],
  "frac_coords": [[0.0431, 0.0000, 0.2428], [0.2500, 0.0000, 0.8702], [0.4569, 0.0000, 0.2428], [0.5431, 0.0000, 0.7572], [0.7500, 0.0000, 0.1298], [0.9569, 0.0000, 0.7572], [0.1292, 0.5000, 0.5751], [0.2500, 0.5000, 0.2184], [0.3708, 0.5000, 0.5751], [0.6292, 0.5000, 0.4249], [0.7500, 0.5000, 0.7816], [0.8708, 0.5000, 0.4249], [0.0981, 0.5000, 0.9457], [0.2500, 0.0000, 0.4572], [0.4019, 0.5000, 0.9457], [0.5981, 0.5000, 0.0543], [0.7500, 0.0000, 0.5428], [0.9019, 0.5000, 0.0543]],
  "sg": "No. 51",
  "de_polymorph_ev_per_atom": 0.003,
  "dos_at_fermi_per_ev_atom": 0.6388,
  "formation_energy_ev_per_fu": -2.22
}